Record 1
Density functional theory data (PBE-GGA) for an optimized crystal structure of Fe2IrRh.

Lattice parameters (Å, degrees): 4.518 4.518 2.682 90.00 90.00 107.41
Each line ends with the local moment (μB).
Atoms (fractional coordinates):
Fe1 0.000 0.000 0.000  2.36
Fe2 0.500 0.500 0.000  2.36
Ir1 0.500 0.000 0.500  -0.04
Rh1 0.000 0.500 0.500  0.11

Output
DFT formation energy	-24	meV per atom
density	12.94	g cm⁻³
energy	-8.308	eV per atom
total moment	4.78	μB/cell



Record 2
Density functional theory data (PBE-GGA) for an optimized crystal structure of Fe4Ir2Rh.

Lattice parameters (Å, degrees): 4.925 4.925 5.205 103.18 103.18 121.22
Each line ends with the local moment (μB).
Atoms (fractional coordinates):
Ir1 0.646 0.646 0.291  0.48
Ir2 0.354 0.354 0.709  0.48
Rh1 0.000 0.000 0.000  0.64
Fe1 0.750 0.250 0.500  2.72
Fe2 0.250 0.750 0.500  2.72
Fe3 0.500 0.000 0.000  2.58
Fe4 0.000 0.500 0.000  2.58

Output
DFT formation energy	311	meV per atom
density	12.34	g cm⁻³
energy	-8.106	eV per atom
total moment	12.34	μB/cell



Record 3
Density functional theory data (PBE-GGA) for an optimized crystal structure of FeIr2Rh2.

Lattice parameters (Å, degrees): 6.372 6.372 3.764 90.00 90.00 90.00
Each line ends with the local moment (μB).
Atoms (fractional coordinates):
Ir1 0.362 0.862 0.000  0.09
Ir2 0.862 0.638 0.000  0.10
Ir3 0.638 0.138 0.000  0.09
Ir4 0.138 0.362 0.000  0.10
Rh1 0.157 0.657 0.500  0.09
Rh2 0.657 0.843 0.500  0.09
Rh3 0.843 0.343 0.500  0.09
Rh4 0.343 0.157 0.500  0.09
Fe1 0.000 0.000 0.000  2.85
Fe2 0.500 0.500 0.000  2.85

Output
DFT formation energy	298	meV per atom
density	14.04	g cm⁻³
energy	-7.880	eV per atom
total moment	6.51	μB/cell



Record 4
Density functional theory data (PBE-GGA) for an optimized crystal structure of Fe4Ir3Rh3.

Lattice parameters (Å, degrees): 2.750 7.040 7.040 90.45 90.00 90.00
Each line ends with the local moment (μB).
Atoms (fractional coordinates):
Fe1 0.000 0.620 0.380  2.57
Fe2 0.000 0.383 0.617  2.24
Fe3 0.000 0.880 0.882  2.37
Fe4 0.000 0.118 0.120  2.37
Ir1 0.000 0.493 0.996  0.23
Ir2 0.000 0.004 0.507  0.23
Ir3 0.500 0.179 0.821  0.09
Rh1 0.500 0.821 0.179  0.43
Rh2 0.500 0.323 0.321  0.42
Rh3 0.500 0.679 0.677  0.42

Output
DFT formation energy	212	meV per atom
density	13.51	g cm⁻³
energy	-8.037	eV per atom
total moment	11.47	μB/cell



Record 5
Density functional theory data (PBE-GGA) for an optimized crystal structure of FeIrRh2.

Lattice parameters (Å, degrees): 2.747 4.519 4.557 90.00 90.00 90.00
Each line ends with the local moment (μB).
Atoms (fractional coordinates):
Fe1 0.500 0.000 0.500  2.90
Ir1 0.000 0.500 0.500  0.30
Rh1 0.000 0.000 0.000  0.32
Rh2 0.500 0.500 0.000  0.14

Output
DFT formation energy	178	meV per atom
density	13.32	g cm⁻³
energy	-7.828	eV per atom
total moment	3.68	μB/cell



Record 6
Density functional theory data (PBE-GGA) for an optimized crystal structure of FeIrRh2.

Lattice parameters (Å, degrees): 5.257 5.257 5.257 149.53 129.41 60.21
Each line ends with the local moment (μB).
Atoms (fractional coordinates):
Fe1 0.498 0.498 0.000  2.83
Ir1 0.270 0.770 0.500  0.24
Rh1 0.005 0.005 0.000  0.38
Rh2 0.728 0.228 0.500  0.32

Output
DFT formation energy	131	meV per atom
density	13.35	g cm⁻³
energy	-7.876	eV per atom
total moment	3.82	μB/cell